1.
PBE CeNdSmGa, relaxed; total magnetization = 0.000 μB/atom; crystal system = cubic; space group = F-43m, No. 216; Fermi-level density of states = 6.67 states/eV/cell; energy relative to the elements = -0.047 eV/atom
1.0
0.000 3.786 3.786
3.786 0.000 3.786
3.786 3.786 0.000
Ce Nd Sm Ga
1 1 1 1
Direct
0.000 0.000 0.000
0.750 0.750 0.750
0.250 0.250 0.250
0.500 0.500 0.500

---

2.
PBE TbCeNdGa, relaxed; total magnetization = 0.129 μB/atom; crystal system = cubic; space group = F-43m, No. 216; Fermi-level density of states = 8.81 states/eV/cell; energy relative to the elements = -0.062 eV/atom
1.0
0.000 3.800 3.800
3.800 0.000 3.800
3.800 3.800 0.000
Tb Ce Nd Ga
1 1 1 1
Direct
0.000 0.000 0.000
0.750 0.750 0.750
0.250 0.250 0.250
0.500 0.500 0.500

---

3.
PBE CeNdThGa, relaxed; total magnetization = 0.208 μB/atom; crystal system = cubic; space group = F-43m, No. 216; Fermi-level density of states = 8.14 states/eV/cell; energy relative to the elements = -0.021 eV/atom
1.0
0.000 3.783 3.783
3.783 0.000 3.783
3.783 3.783 0.000
Ce Nd Th Ga
1 1 1 1
Direct
0.000 0.000 0.000
0.250 0.250 0.250
0.750 0.750 0.750
0.500 0.500 0.500

---

> Among the records above, which one has the highest energy relative to the elements?

CeNdThGa

---

> Fermi-level density of states of number 1 (CeNdSmGa)?

6.67 states/eV/cell

---

> What is the formula in the second record?

TbCeNdGa

---

> Among the records above, which one has the highest Fermi-level density of states?

TbCeNdGa